Record 1
The following is a GGA-PBEsol calculation of a relaxed structure of Na2SrSi2O6, from Alexandria.

Cell lengths 10.887, 10.807, 7.666 Å; angles 90.00, 92.54, 90.00 degrees
Space group C2/m (No. 12)
Symmetry-distinct sites (fractional):
Na: 0.000 0.000 0.000 (multiplicity 2)
Na: 0.000 0.500 0.500 (multiplicity 2)
Na: 0.247 0.000 0.236 (multiplicity 4)
Na: 0.250 0.250 0.000 (multiplicity 4)
Sr: 0.000 0.000 0.500 (multiplicity 2)
Sr: 0.250 0.250 0.500 (multiplicity 4)
Si: 0.014 0.272 0.210 (multiplicity 8)
Si: 0.215 0.500 0.231 (multiplicity 4)
O: 0.000 0.238 0.000 (multiplicity 4)
O: 0.078 0.152 0.302 (multiplicity 8)
O: 0.113 0.326 0.721 (multiplicity 8)
O: 0.124 0.377 0.232 (multiplicity 8)
O: 0.204 0.000 0.937 (multiplicity 4)
O: 0.222 0.000 0.573 (multiplicity 4)

## Properties
Electronic total energy, eV per atom: -6.968
Raw formation energy, eV/atom: -2.64
Size of the total moment, μB per atom: 0.000
DOS(E_F), states/eV/f.u.: 0.0

Record 2
The following is a GGA-PBEsol calculation of a relaxed structure of NaTbSi2O6, from Alexandria.

Cell lengths 5.491, 9.355, 9.684 Å; angles 117.25, 97.07, 100.01 degrees
Space group P-1 (No. 2)
Symmetry-distinct sites (fractional):
Na: 0.000 0.000 0.000 (multiplicity 1)
Na: 0.169 0.603 0.937 (multiplicity 2)
Tb: 0.000 0.500 0.500 (multiplicity 1)
Tb: 0.321 0.777 0.367 (multiplicity 2)
Si: 0.106 0.118 0.367 (multiplicity 2)
Si: 0.227 0.240 0.874 (multiplicity 2)
Si: 0.397 0.362 0.252 (multiplicity 2)
O: 0.014 0.321 0.833 (multiplicity 2)
O: 0.033 0.755 0.514 (multiplicity 2)
O: 0.109 0.035 0.788 (multiplicity 2)
O: 0.247 0.290 0.064 (multiplicity 2)
O: 0.262 0.210 0.282 (multiplicity 2)
O: 0.299 0.049 0.447 (multiplicity 2)
O: 0.303 0.527 0.362 (multiplicity 2)
O: 0.303 0.613 0.726 (multiplicity 2)
O: 0.498 0.287 0.839 (multiplicity 2)

## Properties
Electronic total energy, eV per atom: -7.872
Raw formation energy, eV/atom: -2.93
Size of the total moment, μB per atom: 0.000
DOS(E_F), states/eV/f.u.: 0.0

Record 3
The following is a GGA-PBEsol calculation of a relaxed structure of NaTbSi2O6, from Alexandria.

Cell lengths 5.430, 13.760, 7.606 Å; angles 90.00, 109.65, 90.00 degrees
Space group P2_1/c (No. 14)
Symmetry-distinct sites (fractional):
Na: 0.135 0.229 0.052 (multiplicity 4)
Tb: 0.020 0.508 0.752 (multiplicity 4)
Si: 0.418 0.637 0.068 (multiplicity 4)
Si: 0.429 0.640 0.642 (multiplicity 4)
O: 0.197 0.562 0.081 (multiplicity 4)
O: 0.211 0.566 0.514 (multiplicity 4)
O: 0.265 0.135 0.833 (multiplicity 4)
O: 0.285 0.123 0.301 (multiplicity 4)
O: 0.314 0.749 0.080 (multiplicity 4)
O: 0.385 0.621 0.844 (multiplicity 4)

## Properties
Electronic total energy, eV per atom: -7.873
Raw formation energy, eV/atom: -2.93
Size of the total moment, μB per atom: 0.000
DOS(E_F), states/eV/f.u.: 0.0

Record 4
The following is a GGA-PBEsol calculation of a relaxed structure of Na16Ti7Si8O40, from Alexandria.

Cell lengths 9.753, 18.507, 10.915 Å; angles 90.00, 116.34, 90.00 degrees
Space group C2/m (No. 12)
Symmetry-distinct sites (fractional):
Na: 0.000 0.240 0.000 (multiplicity 4)
Na: 0.114 0.120 0.248 (multiplicity 8)
Na: 0.121 0.376 0.249 (multiplicity 8)
Na: 0.169 0.500 0.753 (multiplicity 4)
Na: 0.177 0.000 0.754 (multiplicity 4)
Na: 0.250 0.250 0.500 (multiplicity 4)
Ti: 0.000 0.500 0.000 (multiplicity 2)
Ti: 0.106 0.249 0.746 (multiplicity 8)
Ti: 0.220 0.000 0.472 (multiplicity 4)
Si: 0.000 0.123 0.500 (multiplicity 4)
Si: 0.000 0.376 0.500 (multiplicity 4)
Si: 0.240 0.371 0.995 (multiplicity 8)
O: 0.011 0.324 0.383 (multiplicity 8)
O: 0.016 0.176 0.386 (multiplicity 8)
O: 0.024 0.500 0.181 (multiplicity 4)
O: 0.074 0.000 0.312 (multiplicity 4)
O: 0.109 0.315 0.890 (multiplicity 8)
O: 0.122 0.176 0.886 (multiplicity 8)
O: 0.154 0.426 0.562 (multiplicity 8)
O: 0.157 0.074 0.569 (multiplicity 8)
O: 0.165 0.424 0.068 (multiplicity 8)
O: 0.195 0.086 0.097 (multiplicity 8)
O: 0.218 0.250 0.253 (multiplicity 8)

## Properties
Electronic total energy, eV per atom: -7.183
Raw formation energy, eV/atom: -2.44
Size of the total moment, μB per atom: 0.059
DOS(E_F), states/eV/f.u.: 25.4

Record 5
The following is a GGA-PBEsol calculation of a relaxed structure of NaTiSi2O6, from Alexandria.

Cell lengths 9.836, 8.728, 5.245 Å; angles 90.00, 105.86, 90.00 degrees
Space group C2/c (No. 15)
Symmetry-distinct sites (fractional):
Na: 0.000 0.193 0.250 (multiplicity 4)
Ti: 0.000 0.414 0.750 (multiplicity 4)
Si: 0.208 0.094 0.761 (multiplicity 8)
O: 0.119 0.412 0.149 (multiplicity 8)
O: 0.135 0.260 0.689 (multiplicity 8)
O: 0.148 0.012 0.992 (multiplicity 8)

## Properties
Electronic total energy, eV per atom: -7.989
Raw formation energy, eV/atom: -2.72
Size of the total moment, μB per atom: 0.100
DOS(E_F), states/eV/f.u.: 0.8

Record 6
The following is a GGA-PBEsol calculation of a relaxed structure of Na2Ti2Si2O9, from Alexandria.

Cell lengths 8.694, 5.238, 14.545 Å; angles 90.00, 90.00, 90.00 degrees
Space group Pbcn (No. 60)
Symmetry-distinct sites (fractional):
Na: 0.063 0.141 0.154 (multiplicity 8)
Ti: 0.152 0.370 0.831 (multiplicity 8)
Si: 0.157 0.301 0.526 (multiplicity 8)
O: 0.000 0.493 0.750 (multiplicity 4)
O: 0.009 0.259 0.927 (multiplicity 8)
O: 0.166 0.299 0.415 (multiplicity 8)
O: 0.182 0.057 0.777 (multiplicity 8)
O: 0.235 0.435 0.067 (multiplicity 8)

## Properties
Electronic total energy, eV per atom: -7.985
Raw formation energy, eV/atom: -2.77
Size of the total moment, μB per atom: 0.000
DOS(E_F), states/eV/f.u.: 0.0

Record 7
The following is a GGA-PBEsol calculation of a relaxed structure of NaVSi2O6, from Alexandria.

Cell lengths 9.718, 8.721, 5.260 Å; angles 90.00, 107.02, 90.00 degrees
Space group C2/c (No. 15)
Symmetry-distinct sites (fractional):
Na: 0.000 0.198 0.250 (multiplicity 4)
V: 0.000 0.411 0.750 (multiplicity 4)
Si: 0.208 0.093 0.767 (multiplicity 8)
O: 0.116 0.417 0.140 (multiplicity 8)
O: 0.138 0.261 0.696 (multiplicity 8)
O: 0.146 0.010 0.992 (multiplicity 8)

## Properties
Electronic total energy, eV per atom: -7.949
Raw formation energy, eV/atom: -2.55
Size of the total moment, μB per atom: 0.200
DOS(E_F), states/eV/f.u.: 4.9

Record 8
The following is a GGA-PBEsol calculation of a relaxed structure of NaVSiO4, from Alexandria.

Cell lengths 5.308, 8.494, 6.572 Å; angles 90.00, 90.00, 90.00 degrees
Space group Cmcm (No. 63)
Symmetry-distinct sites (fractional):
Na: 0.000 0.181 0.250 (multiplicity 4)
V: 0.000 0.500 0.000 (multiplicity 4)
Si: 0.000 0.163 0.750 (multiplicity 4)
O: 0.000 0.280 0.555 (multiplicity 8)
O: 0.247 0.454 0.250 (multiplicity 8)

## Properties
Electronic total energy, eV per atom: -7.725
Raw formation energy, eV/atom: -2.33
Size of the total moment, μB per atom: 0.286
DOS(E_F), states/eV/f.u.: 4.7